Computed, not measured: a geometry-optimized Ca2CrPbO6 structure at the PBE+U level of DFT.

a b c (Å): 5.053 5.448 5.448
angles (deg): 90.00 90.00 90.00
Atoms (fractional coordinates):
Ca (0.987, 0.500, 0.000)
Ca (0.987, 0.000, 0.500)
Cr (0.598, 0.000, 0.000)
Pb (0.563, 0.500, 0.500)
O (0.726, 0.232, 0.232)
O (0.726, 0.232, 0.768)
O (0.148, 0.500, 0.500)
O (0.260, 0.000, 0.000)
O (0.726, 0.768, 0.768)
O (0.726, 0.768, 0.232)

Calculated values
SG = P4mm
Total moment = 1.876 μB per formula unit
DFT total energy = -6.349 eV/atom